First-principles (PBE) data for a geometry-optimized Na3TeI6 structure, as listed in Alexandria.

Lattice parameters (Å, degrees): 7.790 8.309 14.090 90.00 117.49 90.00
Atoms (fractional coordinates):
Na (0.000, 0.000, 0.000)
Na (0.000, 0.500, 0.500)
Na (0.279, 0.107, 0.757)
Na (0.279, 0.393, 0.257)
Na (0.721, 0.607, 0.743)
Na (0.721, 0.893, 0.243)
Te (0.500, 0.000, 0.500)
Te (0.500, 0.500, 0.000)
I (0.088, 0.051, 0.240)
I (0.088, 0.449, 0.740)
I (0.293, 0.684, 0.097)
I (0.293, 0.816, 0.597)
I (0.400, 0.196, 0.071)
I (0.400, 0.304, 0.571)
I (0.600, 0.696, 0.429)
I (0.600, 0.804, 0.929)
I (0.707, 0.184, 0.403)
I (0.707, 0.316, 0.903)
I (0.912, 0.551, 0.260)
I (0.912, 0.949, 0.760)

- Crystal system: monoclinic
- Total magnetic moment: 0.87 μB per formula unit
- Energy relative to the elements, uncorrected: -0.713 eV/atom
- Electronic total energy: -2.35 eV/atom